A plane-wave DFT calculation with PBE was carried out for a relaxed NpAl2B2O7 crystal.

Geometry as extended XYZ:
```
12
Lattice="2.430 1.403 8.323 -2.430 1.403 8.323 0.000 -2.806 8.323" Properties=species:S:1:pos:R:3 pbc="T T T"
Np 0.000 0.000 0.000
Al 0.000 0.000 10.796
Al 0.000 0.000 14.173
B 0.000 0.000 6.580
B 0.000 0.000 18.388
O -1.051 -1.260 10.047
O -0.566 -1.540 14.922
O -0.566 1.540 10.047
O 0.000 0.000 12.484
O -1.051 1.260 14.922
O 1.616 -0.280 10.047
O 1.616 0.280 14.922
```

Computed properties:
- ΔE_f (raw): -2.533 eV/atom
- Mass density: 4.14 g/cm3
- SG: No. 155